(1)
The following is a DFT calculation (PBE-GGA) of crystalline BeCl3O at its relaxed geometry.

## Properties
D(E_F) (states/eV/atom): 0.431
Uncorrected energy (eV per cell): -10.16

a b c (Å): 4.449 4.449 4.449
angles (deg): 90.00 90.00 90.00
Atoms (fractional coordinates):
Be  0.000  0.000  0.000
Cl  0.000  0.500  0.500
Cl  0.500  0.000  0.500
Cl  0.500  0.500  0.000
O  0.500  0.500  0.500

(2)
The following is a DFT calculation (PBE-GGA) of crystalline BeClO at its relaxed geometry.

## Properties
D(E_F) (states/eV/atom): 1.035
Uncorrected energy (eV per cell): -30.27

a b c (Å): 15.494 15.494 15.494
angles (deg): 10.03 10.03 10.03
Atoms (fractional coordinates):
Be  0.197  0.197  0.197
Be  0.803  0.803  0.803
Cl  0.379  0.379  0.379
Cl  0.621  0.621  0.621
O  0.136  0.136  0.136
O  0.864  0.864  0.864

(3)
The following is a DFT calculation (PBE-GGA) of crystalline BeCl3O at its relaxed geometry.

## Properties
D(E_F) (states/eV/atom): 1.028
Uncorrected energy (eV per cell): -13.42

a b c (Å): 4.487 4.487 4.487
angles (deg): 90.00 90.00 90.00
Atoms (fractional coordinates):
Be  0.000  0.000  0.000
Cl  0.000  0.000  0.500
Cl  0.000  0.500  0.000
Cl  0.500  0.000  0.000
O  0.500  0.500  0.500

(4)
The following is a DFT calculation (PBE-GGA) of crystalline Be2PbClO at its relaxed geometry.

## Properties
D(E_F) (states/eV/atom): 0.206
Uncorrected energy (eV per cell): -18.93

a b c (Å): 3.746 3.746 6.395
angles (deg): 90.00 90.00 90.00
Atoms (fractional coordinates):
Be  0.000  0.500  0.000
Be  0.500  0.000  0.000
Pb  0.000  0.000  0.500
Cl  0.500  0.500  0.500
O  0.500  0.500  0.000

(5)
The following is a DFT calculation (PBE-GGA) of crystalline BePtCl2O at its relaxed geometry.

## Properties
D(E_F) (states/eV/atom): 0.473
Uncorrected energy (eV per cell): -15.47

a b c (Å): 4.137 4.137 5.078
angles (deg): 90.00 90.00 90.00
Atoms (fractional coordinates):
Be  0.000  0.000  0.000
Pt  0.000  0.000  0.500
Cl  0.000  0.500  0.000
Cl  0.500  0.000  0.000
O  0.500  0.500  0.500

(6)
The following is a DFT calculation (PBE-GGA) of crystalline BeSClO2 at its relaxed geometry.

## Properties
D(E_F) (states/eV/atom): 0.311
Uncorrected energy (eV per cell): -18.60

a b c (Å): 3.480 3.480 6.861
angles (deg): 90.00 90.00 90.00
Atoms (fractional coordinates):
Be  0.000  0.000  0.000
S  0.500  0.500  0.500
Cl  0.500  0.500  0.000
O  0.000  0.500  0.500
O  0.500  0.000  0.500

Formation energy from raw total energies readings, ordered: 0.812 -1.535 0.161 -0.193 0.590 0.204 eV/atom
Mass density readings, ordered: 2.5 2.1 2.4 5.1 5.6 2.2 g/cm³
Magnetization readings, ordered: 0.00 0.00 3.00 0.00 1.98 0.00 μB/cell